A plane-wave DFT calculation with GGA-PBE was carried out for LiScTlCd after structural relaxation.

Computed properties:
- Density: 7.46 g cm⁻³
- Electronic total energy: -2.984 eV per atom

abc: 6.897 6.897 6.897
angles: 90.00 90.00 90.00
Space group F-43m (No. 216)
Symmetry-distinct sites (fractional):
Li 0.000 0.000 0.000 [4 per cell]
Sc 0.250 0.250 0.750 [4 per cell]
Tl 0.250 0.250 0.250 [4 per cell]
Cd 0.000 0.000 0.500 [4 per cell]

---

A plane-wave DFT calculation with GGA-PBE was carried out for Dy2CuGe6 after structural relaxation.

Computed properties:
- Density: 7.66 g cm⁻³
- Electronic total energy: -4.909 eV per atom

abc: 4.024 21.332 4.165
angles: 90.00 90.00 90.00
Space group Cmmm (No. 65)
Symmetry-distinct sites (fractional):
Dy 0.000 0.175 0.000 [4 per cell]
Cu 0.000 0.500 0.500 [2 per cell]
Ge 0.000 0.070 0.500 [4 per cell]
Ge 0.000 0.289 0.500 [4 per cell]
Ge 0.000 0.432 0.000 [4 per cell]

---

A plane-wave DFT calculation with GGA-PBE was carried out for BeNbB4 after structural relaxation.

Computed properties:
- Density: 4.67 g cm⁻³
- Electronic total energy: -6.980 eV per atom

abc: 2.999 5.191 6.632
angles: 90.00 90.00 90.00
Space group Immm (No. 71)
Symmetry-distinct sites (fractional):
Be 0.000 0.000 0.000 [2 per cell]
Nb 0.000 0.000 0.500 [2 per cell]
B 0.000 0.335 0.254 [8 per cell]

---

A plane-wave DFT calculation with GGA-PBE was carried out for Y2Nb4Co3N3 after structural relaxation.

Computed properties:
- Density: 7.58 g cm⁻³
- Electronic total energy: -8.983 eV per atom

abc: 9.427 5.446 13.502
angles: 90.00 103.71 90.00
Space group C2/c (No. 15)
Symmetry-distinct sites (fractional):
Y 0.040 0.083 0.375 [8 per cell]
Nb 0.113 0.411 0.591 [8 per cell]
Nb 0.222 0.417 0.908 [8 per cell]
Co 0.000 0.418 0.750 [4 per cell]
Co 0.248 0.164 0.751 [8 per cell]
N 0.083 0.251 0.000 [8 per cell]
N 0.250 0.250 0.500 [4 per cell]

---

A plane-wave DFT calculation with GGA-PBE was carried out for DyYH2O4 after structural relaxation.

Computed properties:
- Density: 6.09 g cm⁻³
- Electronic total energy: -7.344 eV per atom

abc: 4.306 3.600 5.934
angles: 90.00 109.75 90.00
Space group Pm (No. 6)
Symmetry-distinct sites (fractional):
Dy 0.000 0.000 0.000 [1 per cell]
Y 0.673 0.500 0.382 [1 per cell]
H 0.328 0.500 0.788 [1 per cell]
H 0.346 0.000 0.594 [1 per cell]
O 0.091 0.500 0.756 [1 per cell]
O 0.105 0.500 0.246 [1 per cell]
O 0.568 0.000 0.135 [1 per cell]
O 0.583 0.000 0.626 [1 per cell]

---

A plane-wave DFT calculation with GGA-PBE was carried out for ScNbTc after structural relaxation.

Computed properties:
- Density: 7.27 g cm⁻³
- Electronic total energy: -9.120 eV per atom
- Energy of formation: -192 meV per atom

abc: 3.242 3.242 10.243
angles: 90.00 90.00 90.00
Space group I4mm (No. 107)
Symmetry-distinct sites (fractional):
Sc 0.000 0.000 0.000 [2 per cell]
Nb 0.000 0.000 0.303 [2 per cell]
Tc 0.000 0.000 0.669 [2 per cell]

---

A plane-wave DFT calculation with GGA-PBE was carried out for Rb2AgCl3 after structural relaxation.

Computed properties:
- Density: 3.41 g cm⁻³
- Electronic total energy: -3.180 eV per atom

abc: 9.266 4.507 17.987
angles: 90.00 90.00 90.00
Space group Pnma (No. 62)
Symmetry-distinct sites (fractional):
Rb 0.079 0.250 0.213 [4 per cell]
Rb 0.239 0.250 0.956 [4 per cell]
Ag 0.121 0.250 0.631 [4 per cell]
Cl 0.007 0.250 0.403 [4 per cell]
Cl 0.121 0.750 0.073 [4 per cell]
Cl 0.185 0.250 0.773 [4 per cell]

---

A plane-wave DFT calculation with GGA-PBE was carried out for Zr2NbIn after structural relaxation.

Computed properties:
- Density: 7.71 g cm⁻³
- Electronic total energy: -7.455 eV per atom

abc: 6.954 6.954 6.954
angles: 90.00 90.00 90.00
Space group F-43m (No. 216)
Symmetry-distinct sites (fractional):
Zr 0.000 0.000 0.000 [4 per cell]
Zr 0.250 0.250 0.250 [4 per cell]
Nb 0.250 0.250 0.750 [4 per cell]
In 0.000 0.000 0.500 [4 per cell]

---

A plane-wave DFT calculation with GGA-PBE was carried out for PmErAg2 after structural relaxation.

Computed properties:
- Density: 9.01 g cm⁻³
- Electronic total energy: -4.054 eV per atom
- Energy of formation: -314 meV per atom

abc: 3.612 3.612 7.458
angles: 90.00 90.00 90.00
Space group P4/mmm (No. 123)
Symmetry-distinct sites (fractional):
Pm 0.000 0.000 0.000 [1 per cell]
Er 0.000 0.000 0.500 [1 per cell]
Ag 0.500 0.500 0.270 [2 per cell]

---

A plane-wave DFT calculation with GGA-PBE was carried out for ZrAlFeRe after structural relaxation.

Computed properties:
- Density: 9.32 g cm⁻³
- Electronic total energy: -8.161 eV per atom

abc: 6.355 6.355 6.355
angles: 90.00 90.00 90.00
Space group F-43m (No. 216)
Symmetry-distinct sites (fractional):
Zr 0.000 0.000 0.000 [4 per cell]
Al 0.250 0.250 0.250 [4 per cell]
Fe 0.000 0.000 0.500 [4 per cell]
Re 0.250 0.250 0.750 [4 per cell]

---

A plane-wave DFT calculation with GGA-PBE was carried out for YErC after structural relaxation.

Computed properties:
- Density: 6.58 g cm⁻³
- Electronic total energy: -7.059 eV per atom

abc: 12.343 3.584 6.204
angles: 90.00 99.61 90.00
Space group C2/m (No. 12)
Symmetry-distinct sites (fractional):
Y 0.111 0.000 0.371 [4 per cell]
Er 0.108 0.500 0.869 [4 per cell]
C 0.000 0.000 0.000 [2 per cell]
C 0.000 0.500 0.500 [2 per cell]

---

A plane-wave DFT calculation with GGA-PBE was carried out for NbBiPb2O6 after structural relaxation.

Computed properties:
- Density: 8.90 g cm⁻³
- Electronic total energy: -6.754 eV per atom

abc: 10.219 5.943 6.089
angles: 90.00 124.92 90.00
Space group C2/m (No. 12)
Symmetry-distinct sites (fractional):
Nb 0.000 0.000 0.000 [2 per cell]
Bi 0.000 0.500 0.500 [2 per cell]
Pb 0.248 0.500 0.221 [4 per cell]
O 0.063 0.239 0.838 [8 per cell]
O 0.226 0.000 0.327 [4 per cell]

---

A plane-wave DFT calculation with GGA-PBE was carried out for LaAl3Cu after structural relaxation.

Computed properties:
- Density: 4.79 g cm⁻³
- Electronic total energy: -4.456 eV per atom

abc: 4.285 4.285 10.706
angles: 90.00 90.00 90.00
Space group I4mm (No. 107)
Symmetry-distinct sites (fractional):
La 0.000 0.000 0.000 [2 per cell]
Al 0.000 0.000 0.405 [2 per cell]
Al 0.000 0.500 0.250 [4 per cell]
Cu 0.000 0.000 0.632 [2 per cell]

---

A plane-wave DFT calculation with GGA-PBE was carried out for YMgAg after structural relaxation.

Computed properties:
- Density: 4.82 g cm⁻³
- Electronic total energy: -3.678 eV per atom

abc: 7.2008 7.2008 5.0868
angles: 90.00 90.00 120.00
Space group P-62m (No. 189)
Symmetry-distinct sites (fractional):
Y 0.0000 0.0000 0.0000 [1 per cell]
Y 0.3333 0.6667 0.5000 [2 per cell]
Mg 0.0000 0.4825 0.0000 [3 per cell]
Ag 0.0000 0.2292 0.5000 [3 per cell]

---

A plane-wave DFT calculation with GGA-PBE was carried out for Sc4Al3Mo2C3 after structural relaxation.

Computed properties:
- Density: 4.34 g cm⁻³
- Electronic total energy: -7.644 eV per atom

abc: 9.629 5.604 14.262
angles: 90.00 103.41 90.00
Space group C2/c (No. 15)
Symmetry-distinct sites (fractional):
Sc 0.114 0.074 0.092 [8 per cell]
Sc 0.215 0.089 0.408 [8 per cell]
Al 0.000 0.140 0.750 [4 per cell]
Al 0.140 0.443 0.248 [8 per cell]
Mo 0.062 0.413 0.925 [8 per cell]
C 0.079 0.261 0.500 [8 per cell]
C 0.250 0.250 0.000 [4 per cell]

---

A plane-wave DFT calculation with GGA-PBE was carried out for PmTaAsO after structural relaxation.

Computed properties:
- Density: 9.70 g cm⁻³
- Electronic total energy: -8.152 eV per atom

abc: 4.158 4.937 6.952
angles: 90.00 90.00 90.00
Space group Pmc2_1 (No. 26)
Symmetry-distinct sites (fractional):
Pm 0.000 0.174 0.000 [2 per cell]
Ta 0.500 0.356 0.347 [2 per cell]
As 0.500 0.152 0.697 [2 per cell]
O 0.000 0.357 0.345 [2 per cell]

---

A plane-wave DFT calculation with GGA-PBE was carried out for KHfPdF7 after structural relaxation.

Computed properties:
- Density: 5.74 g cm⁻³
- Electronic total energy: -5.738 eV per atom

abc: 11.235 7.686 6.122
angles: 90.00 90.00 90.00
Space group Pnna (No. 52)
Symmetry-distinct sites (fractional):
K 0.250 0.000 0.225 [4 per cell]
Hf 0.094 0.250 0.750 [4 per cell]
Pd 0.095 0.750 0.750 [4 per cell]
F 0.051 0.156 0.443 [8 per cell]
F 0.083 0.750 0.250 [4 per cell]
F 0.106 0.012 0.883 [8 per cell]
F 0.247 0.195 0.563 [8 per cell]

---

A plane-wave DFT calculation with GGA-PBE was carried out for SmZn3NiAu after structural relaxation.

Computed properties:
- Density: 9.61 g cm⁻³
- Electronic total energy: -3.326 eV per atom
- Energy of formation: -436 meV per atom

abc: 5.2915 5.2915 4.2929
angles: 90.00 90.00 120.00
Space group P-6m2 (No. 187)
Symmetry-distinct sites (fractional):
Sm 0.0000 0.0000 0.0000 [1 per cell]
Zn 0.5066 0.0133 0.5000 [3 per cell]
Ni 0.6667 0.3333 0.0000 [1 per cell]
Au 0.3333 0.6667 0.0000 [1 per cell]

---

A plane-wave DFT calculation with GGA-PBE was carried out for LiScZnSe3 after structural relaxation.

Computed properties:
- Density: 4.45 g cm⁻³
- Electronic total energy: -4.525 eV per atom

abc: 10.696 3.876 12.754
angles: 90.00 90.00 90.00
Space group Pnma (No. 62)
Symmetry-distinct sites (fractional):
Li 0.153 0.250 0.020 [4 per cell]
Sc 0.005 0.250 0.745 [4 per cell]
Zn 0.236 0.250 0.283 [4 per cell]
Se 0.050 0.250 0.388 [4 per cell]
Se 0.074 0.750 0.890 [4 per cell]
Se 0.244 0.750 0.161 [4 per cell]

---

A plane-wave DFT calculation with GGA-PBE was carried out for ThMg after structural relaxation.

Computed properties:
- Density: 7.32 g cm⁻³
- Electronic total energy: -4.326 eV per atom

abc: 6.9434 6.9434 5.5732
angles: 90.00 90.00 120.00
Space group P-6m2 (No. 187)
Symmetry-distinct sites (fractional):
Th 0.0000 0.0000 0.0000 [1 per cell]
Th 0.3309 0.1654 0.5000 [3 per cell]
Mg 0.0028 0.5014 0.0000 [3 per cell]
Mg 0.3333 0.6667 0.5000 [1 per cell]